The following is a DFT calculation (PBE-GGA) of an optimized crystal structure of ZnCdGa2Ni.

Space group   P4/mmm (123)
Energy relative to the elements   -2 meV/atom
Calculated density   6.28 g cm⁻³
Calculated volume   99.35 Å³/cell
N(E_F)   0.47 states/eV/atom

Cell lengths 4.580, 4.580, 4.736 Å; angles 90.00, 90.00, 90.00 degrees
Fractional coordinates of all 5 atoms:
Ni 0.000 0.000 0.000
Zn 0.000 0.000 0.500
Ga 0.000 0.500 0.000
Ga 0.500 0.000 0.000
Cd 0.500 0.500 0.500

---

The following is a DFT calculation (PBE-GGA) of an optimized crystal structure of NpCdGa4.

Space group   F-43m (216)
Energy relative to the elements   48 meV/atom
Calculated density   8.66 g cm⁻³
Calculated volume   120.52 Å³/cell
N(E_F)   2.25 states/eV/atom

Cell lengths 5.544, 5.544, 5.544 Å; angles 60.00, 60.00, 60.00 degrees
Site moments in Bohr magnetons follow the coordinates.
Fractional coordinates of all 6 atoms:
Np 0.250 0.250 0.250  4.18
Ga 0.624 0.624 0.127  0.05
Ga 0.624 0.127 0.624  0.05
Ga 0.624 0.624 0.624  0.05
Ga 0.127 0.624 0.624  0.05
Cd 0.000 0.000 0.000  0.03